Entry 1:
Here is an optimized crystal structure of Ac2Pr8Tl from Alexandria. Energies are from PBE.

Unit cell a=7.3718 b=10.1932 c=10.1932 alpha=40.33 beta=58.19 gamma=58.19
With the nearest neighbours (Å) after each atom.
Positions (direct):
Pr: 0.8186 0.2433 0.2433  5 Pr 3.43-3.74, 3 Ac 3.72-3.84
Pr: 0.7814 0.1856 0.6655  1 Tl 3.25, 4 Pr 3.37-3.56, 1 Ac 3.63
Pr: 0.2625 0.4016 0.4016  6 Pr 3.47-3.72, 1 Ac 3.71
Pr: 0.2186 0.3345 0.8144  1 Tl 3.25, 4 Pr 3.37-3.56, 1 Ac 3.63
Pr: 0.7814 0.6655 0.1856  1 Tl 3.25, 4 Pr 3.37-3.56, 1 Ac 3.63
Pr: 0.1814 0.7567 0.7567  5 Pr 3.43-3.74, 3 Ac 3.72-3.84
Pr: 0.2186 0.8144 0.3345  1 Tl 3.25, 4 Pr 3.37-3.56, 1 Ac 3.63
Pr: 0.7375 0.5984 0.5984  6 Pr 3.47-3.72, 1 Ac 3.71
Ac: 0.5754 0.8201 0.8201  9 Pr 3.63-4.01, 1 Tl 3.67
Ac: 0.4246 0.1799 0.1799  9 Pr 3.63-4.01, 1 Tl 3.67
Tl: 0.0000 0.0000 0.0000  4 Pr 3.25

Summary:
Total magnetic moment = 0.000 μB/atom
Space-group type = No. 12
DOS(E_F) = 1.427 states/eV per atom
Theoretical density = 7.23 g/cm3
Energy of formation = 0.05 eV/atom
DFT total energy = -48.313 eV per cell

Entry 2:
Here is an optimized crystal structure of Ac9Pr4Tl11 from Alexandria. Energies are from PBE.

Unit cell a=3.8446 b=14.7917 c=14.7917 alpha=101.86 beta=90.00 gamma=90.00
With the nearest neighbours (Å) after each atom.
Positions (direct):
Tl: 0.0000 0.6320 0.3680  6 Ac 3.59-3.78, 4 Pr 3.65, 2 Tl 3.84
Tl: 0.0000 0.7580 0.7580  4 Pr 3.34, 4 Ac 3.57
Tl: 0.0000 0.0000 0.0000  8 Ac 3.58, 4 Tl 3.84-3.90
Tl: 0.0000 0.4192 0.0665  1 Tl 3.39, 2 Pr 3.41, 6 Ac 3.56-3.63
Tl: 0.0000 0.5808 0.9335  1 Tl 3.39, 2 Pr 3.41, 6 Ac 3.56-3.63
Tl: 0.0000 0.2420 0.2420  4 Pr 3.34, 4 Ac 3.57
Tl: 0.0000 0.8300 0.1700  8 Ac 3.53-3.58, 3 Tl 3.84-3.90
Tl: 0.0000 0.0665 0.4192  1 Tl 3.39, 2 Pr 3.41, 6 Ac 3.56-3.63
Tl: 0.0000 0.3680 0.6320  6 Ac 3.59-3.78, 4 Pr 3.65, 2 Tl 3.84
Tl: 0.0000 0.9335 0.5808  1 Tl 3.39, 2 Pr 3.41, 6 Ac 3.56-3.63
Tl: 0.0000 0.1700 0.8300  8 Ac 3.53-3.58, 3 Tl 3.84-3.90
Pr: 0.5000 0.7414 0.5708  6 Tl 3.34-3.65, 2 Ac 3.51-3.59
Pr: 0.5000 0.5708 0.7414  6 Tl 3.34-3.65, 2 Ac 3.51-3.59
Pr: 0.5000 0.4292 0.2586  6 Tl 3.34-3.65, 2 Ac 3.51-3.59
Pr: 0.5000 0.2586 0.4292  6 Tl 3.34-3.65, 2 Ac 3.51-3.59
Ac: 0.5000 0.1460 0.6225  8 Tl 3.56-3.78, 1 Pr 3.59, 2 Ac 3.84
Ac: 0.5000 0.6225 0.1460  8 Tl 3.56-3.78, 1 Pr 3.59, 2 Ac 3.84
Ac: 0.5000 0.9659 0.7916  8 Tl 3.53-3.61, 2 Ac 3.84
Ac: 0.5000 0.7916 0.9659  8 Tl 3.53-3.61, 2 Ac 3.84
Ac: 0.5000 0.5000 0.5000  4 Pr 3.51, 4 Tl 3.59, 2 Ac 3.84
Ac: 0.5000 0.3775 0.8540  8 Tl 3.56-3.78, 1 Pr 3.59, 2 Ac 3.84
Ac: 0.5000 0.0341 0.2084  8 Tl 3.53-3.61, 2 Ac 3.84
Ac: 0.5000 0.8540 0.3775  8 Tl 3.56-3.78, 1 Pr 3.59, 2 Ac 3.84
Ac: 0.5000 0.2084 0.0341  8 Tl 3.53-3.61, 2 Ac 3.84

Summary:
Total magnetic moment = 0.000 μB/atom
Space-group type = No. 65
DOS(E_F) = 1.055 states/eV per atom
Theoretical density = 9.79 g/cm3
Energy of formation = -0.29 eV/atom
DFT total energy = -89.083 eV per cell

Entry 3:
Here is an optimized crystal structure of AcPr5Tl6 from Alexandria. Energies are from PBE.

Unit cell a=5.6192 b=9.7144 c=9.7285 alpha=60.05 beta=73.18 gamma=54.58
With the nearest neighbours (Å) after each atom.
Positions (direct):
Tl: 0.2568 0.9130 0.6600  7 Pr 3.38-3.47, 1 Ac 3.51
Tl: 0.7432 0.4270 0.6600  7 Pr 3.38-3.47, 1 Ac 3.51
Tl: 0.7432 0.0870 0.3400  7 Pr 3.38-3.47, 1 Ac 3.51
Tl: 0.2352 0.2647 0.0000  6 Pr 3.37-3.45, 2 Ac 3.50-3.51, 1 Tl 3.73
Tl: 0.2568 0.5730 0.3400  7 Pr 3.38-3.47, 1 Ac 3.51
Tl: 0.7648 0.7353 0.0000  6 Pr 3.37-3.45, 2 Ac 3.50-3.51, 1 Tl 3.73
Pr: 0.5000 0.5000 0.0000  8 Tl 3.37-3.45
Pr: 0.0000 0.3303 0.3394  8 Tl 3.38-3.41
Pr: 0.0000 0.6697 0.6606  8 Tl 3.38-3.41
Pr: 0.5000 0.8377 0.3246  8 Tl 3.42-3.47
Pr: 0.5000 0.1623 0.6754  8 Tl 3.42-3.47
Ac: 0.0000 0.0000 0.0000  8 Tl 3.50-3.51, 4 Pr 3.92

Summary:
Total magnetic moment = 0.000 μB/atom
Space-group type = No. 12
DOS(E_F) = 0.968 states/eV per atom
Theoretical density = 9.56 g/cm3
Energy of formation = -0.38 eV/atom
DFT total energy = -46.738 eV per cell

Entry 4:
Here is an optimized crystal structure of Ac3PrTl3 from Alexandria. Energies are from PBE.

Unit cell a=8.1254 b=8.1254 c=7.8959 alpha=90.01 beta=90.01 gamma=88.04
With the nearest neighbours (Å) after each atom.
Positions (direct):
Pr: 0.2294 0.2294 0.0000  6 Tl 3.27-3.40
Pr: 0.7706 0.7706 0.0000  6 Tl 3.27-3.40
Tl: 0.5000 0.0000 0.2370  2 Pr 3.40, 6 Ac 3.50-3.59, 1 Tl 3.74
Tl: 0.0001 0.0001 0.2374  2 Pr 3.27, 2 Ac 3.41
Tl: 0.9999 0.9999 0.7626  2 Pr 3.27, 2 Ac 3.41
Tl: 0.5000 0.0000 0.7630  2 Pr 3.40, 6 Ac 3.50-3.59, 1 Tl 3.74
Tl: 0.0000 0.5000 0.2370  2 Pr 3.40, 6 Ac 3.50-3.59, 1 Tl 3.74
Tl: 0.0000 0.5000 0.7630  2 Pr 3.40, 6 Ac 3.50-3.59, 1 Tl 3.74
Ac: 0.2673 0.2673 0.5000  6 Tl 3.51-3.75
Ac: 0.7093 0.2907 0.0000  6 Tl 3.50-3.78
Ac: 0.7327 0.7327 0.5000  6 Tl 3.51-3.75
Ac: 0.2907 0.7093 0.0000  6 Tl 3.50-3.78
Ac: 0.2400 0.7600 0.5000  6 Tl 3.41-3.59
Ac: 0.7600 0.2400 0.5000  6 Tl 3.41-3.59

Summary:
Total magnetic moment = 0.024 μB/atom
Space-group type = No. 65
DOS(E_F) = 1.293 states/eV per atom
Theoretical density = 9.15 g/cm3
Energy of formation = -0.23 eV/atom
DFT total energy = -51.613 eV per cell